Entry 1:
DFT (PBE) results for a relaxed PmGa2Ni crystal.

a b c (Å): 5.544 6.695 7.906
angles (deg): 90.00 90.00 90.00
Atoms (fractional coordinates):
Ga 0.114 0.556 0.821
Ga 0.614 0.444 0.679
Ga 0.886 0.056 0.179
Ga 0.386 0.944 0.321
Ga 0.886 0.444 0.179
Ga 0.614 0.056 0.679
Ga 0.114 0.944 0.821
Ga 0.386 0.556 0.321
Pm 0.620 0.750 0.960
Pm 0.880 0.750 0.460
Pm 0.380 0.250 0.040
Pm 0.120 0.250 0.540
Ni 0.368 0.750 0.601
Ni 0.632 0.250 0.399
Ni 0.132 0.750 0.101
Ni 0.868 0.250 0.899

Properties
**Energy of formation from the pure elements**: -561 meV per atom

Entry 2:
DFT (PBE) results for a relaxed Pm3GaNi crystal.

a b c (Å): 7.250 8.410 9.446
angles (deg): 112.67 90.00 90.00
Atoms (fractional coordinates):
Ni 0.534 0.159 0.083
Ni 0.466 0.841 0.917
Ni 0.034 0.341 0.917
Ni 0.966 0.659 0.083
Ga 0.152 0.448 0.422
Ga 0.348 0.948 0.422
Ga 0.848 0.552 0.578
Ga 0.652 0.052 0.578
Pm 0.985 0.785 0.424
Pm 0.819 0.981 0.846
Pm 0.834 0.386 0.183
Pm 0.515 0.285 0.424
Pm 0.166 0.614 0.817
Pm 0.681 0.481 0.846
Pm 0.334 0.114 0.817
Pm 0.181 0.019 0.154
Pm 0.666 0.886 0.183
Pm 0.319 0.519 0.154
Pm 0.485 0.715 0.576
Pm 0.015 0.215 0.576

Properties
**Energy of formation from the pure elements**: -318 meV per atom